# 1
K2ZnOs (PBE-GGA, optimized geometry); total DFT energy (no corrections) = -19.45 eV for the cell shown; total magnetic moment = 0.0 μB per formula unit; formation enthalpy at 0 K = 1.2440 eV/atom
1.0
-1.966 1.966 11.370
1.966 -1.966 11.370
1.966 1.966 -11.370
K Zn Os
4 2 2
Direct
0.124 0.625 0.999
0.375 0.374 0.499
0.626 0.125 0.001
0.875 0.876 0.501
0.000 0.000 0.000
0.750 0.250 0.500
0.250 0.750 0.500
0.500 0.500 0.000

***

# 2
KZnOs2 (PBE-GGA, optimized geometry); total DFT energy (no corrections) = -19.04 eV for the cell shown; total magnetic moment = 0.0 μB per formula unit; formation enthalpy at 0 K = 1.4482 eV/atom
1.0
-1.898 1.898 4.992
1.898 -1.898 4.992
1.898 1.898 -4.992
K Zn Os
1 1 2
Direct
0.000 0.000 0.000
0.500 0.500 0.000
0.250 0.750 0.500
0.750 0.250 0.500

***

# 3
KZnOs2 (PBE-GGA, optimized geometry); total DFT energy (no corrections) = -20.74 eV for the cell shown; total magnetic moment = 0.0 μB per formula unit; formation enthalpy at 0 K = 1.0219 eV/atom
1.0
2.671 0.000 0.000
0.000 4.685 0.000
-0.762 0.000 6.626
K Zn Os
1 1 2
Direct
0.000 0.000 0.000
0.500 0.000 0.500
0.286 0.500 0.660
0.714 0.500 0.340

***

# 4
KZnOs2 (PBE-GGA, optimized geometry); total DFT energy (no corrections) = -20.90 eV for the cell shown; total magnetic moment = 0.0 μB per formula unit; formation enthalpy at 0 K = 0.9822 eV/atom
1.0
2.625 0.000 0.000
0.000 4.349 0.000
0.000 0.000 7.291
K Zn Os
1 1 2
Direct
0.000 0.000 0.000
0.000 0.000 0.500
0.500 0.500 0.339
0.500 0.500 0.661

***

# 5
KZnOs2 (PBE-GGA, optimized geometry); total DFT energy (no corrections) = -21.56 eV for the cell shown; total magnetic moment = 0.0 μB per formula unit; formation enthalpy at 0 K = 0.8173 eV/atom
1.0
1.426 -2.319 0.000
1.426 2.319 0.000
0.000 0.000 10.182
K Zn Os
1 1 2
Direct
0.000 0.000 0.000
0.000 0.000 0.500
0.500 0.500 0.285
0.500 0.500 0.715

***

# 6
KZnOs3 (PBE-GGA, optimized geometry); distance to the lowest polymorph of the same formula = 1.525 eV per atom; total DFT energy (no corrections) = -17.05 eV for the cell shown; total magnetic moment = 1.7 μB per formula unit; formation enthalpy at 0 K = 3.8019 eV/atom
1.0
4.593 0.000 0.000
0.000 4.593 0.000
0.000 0.000 4.593
K Zn Os
1 1 3
Direct
0.000 0.000 0.000
0.500 0.500 0.500
0.000 0.000 0.500
0.000 0.500 0.000
0.500 0.000 0.000

***

# 7
KZnOs2 (PBE-GGA, optimized geometry); total DFT energy (no corrections) = -22.46 eV for the cell shown; total magnetic moment = 0.4 μB per formula unit; formation enthalpy at 0 K = 0.5923 eV/atom
1.0
2.866 0.000 0.000
0.000 2.866 0.000
0.000 0.000 9.220
K Zn Os
1 1 2
Direct
0.000 0.000 0.000
0.500 0.500 0.675
0.000 0.000 0.477
0.500 0.500 0.302

***

# 8
KZnOs2 (PBE-GGA, optimized geometry); total DFT energy (no corrections) = -21.31 eV for the cell shown; total magnetic moment = 0.0 μB per formula unit; formation enthalpy at 0 K = 0.8793 eV/atom
1.0
5.822 -1.357 0.000
5.822 1.357 0.000
-1.931 0.000 4.340
K Zn Os
1 1 2
Direct
0.000 0.000 0.000
0.500 0.500 0.500
0.217 0.217 0.717
0.783 0.783 0.283